# AcCuPbSe3 PBE-GGA relaxed
# Magnetic moment in Bohr magnetons per cell: 0.000
# Formation energy without anion corrections in meV per atom: -1057.6
data_AcCuPbSe3
_cell_length_a 9.100
_cell_length_b 4.193
_cell_length_c 9.102
_cell_angle_alpha 90.00
_cell_angle_beta 98.77
_cell_angle_gamma 90.00
_space_group_name_H-M_alt 'P 1 21/m 1'
_space_group_IT_number 11
loop_
_space_group_symop_operation_xyz
'x,y,z'
'-x,-y,-z'
'-x,y+1/2,-z'
'x,-y+1/2,z'
loop_
_atom_site_label
_atom_site_fract_x
_atom_site_fract_y
_atom_site_fract_z
Ac1 0.155 0.250 0.228
Cu1 0.072 0.250 0.576
Pb1 0.353 0.750 0.834
Se1 0.104 0.250 0.861
Se2 0.202 0.750 0.496
Se3 0.398 0.750 0.162